(1)
Density functional theory data (SCAN) for a crystal of K2Ca2C3O9 relaxed with PBEsol.

Cell and atoms, written as extended XYZ:
```
32
Lattice="-1.438 6.172 -4.928 -1.202 -6.790 -4.110 -5.372 0.278 5.959" Properties=species:S:1:pos:R:3 pbc="T T T"
K -5.767 -0.928 2.030
K -1.041 -0.044 -0.400
K -4.033 3.616 -2.985
K -3.317 -3.245 -4.088
O -6.281 4.183 0.422
O -5.053 5.261 -1.135
O -4.647 1.825 -0.144
O -5.641 1.367 -3.079
O -5.478 -1.795 -3.152
O -2.565 -1.753 -1.843
O -6.539 -0.322 -0.556
O -3.530 1.886 1.800
O -4.283 -2.495 -0.614
O -1.310 1.454 -3.928
O -5.896 -4.712 0.403
O -3.140 0.158 -3.881
O -3.567 -0.001 0.570
O -3.328 -0.129 -6.785
O -6.017 -3.574 2.349
O -2.605 1.383 -2.086
O -2.358 -3.646 -0.638
O -2.673 -2.270 -6.496
C -2.357 1.007 -3.294
C -5.381 -4.352 1.536
C -2.398 -1.011 -6.594
C -3.068 -2.631 -1.043
C -5.206 4.811 0.067
C -3.919 1.227 0.746
Ca -7.033 2.043 -0.301
Ca -6.343 -3.353 -1.500
Ca -4.435 -0.188 -1.705
Ca -5.054 0.528 -5.283
```

## Properties
The magnetic moment comes out at 0.000 μB per atom. The total DFT energy (no corrections) is -158.6 eV per formula unit. As for the space group: R3, No. 146.

=====

(2)
Density functional theory data (SCAN) for a crystal of TaAuI3 relaxed with PBEsol.

Cell and atoms, written as extended XYZ:
```
5
Lattice="5.387 0.000 0.000 0.000 5.387 0.000 0.000 0.000 5.387" Properties=species:S:1:pos:R:3 pbc="T T T"
I 2.693 0.000 0.000
I 0.000 0.000 2.693
I 0.000 2.693 0.000
Ta 0.000 0.000 0.000
Au 2.693 2.693 2.693
```

## Properties
The magnetic moment comes out at 0.000 μB per atom. The total DFT energy (no corrections) is -243.1 eV per formula unit. As for the space group: Pm-3m, No. 221.

=====

(3)
Density functional theory data (SCAN) for a crystal of Ca2RhAu relaxed with PBEsol.

Cell and atoms, written as extended XYZ:
```
4
Lattice="3.439 0.000 0.000 0.000 4.708 0.000 -1.719 -2.354 5.251" Properties=species:S:1:pos:R:3 pbc="T T T"
Ca 1.719 0.000 2.898
Ca 1.719 2.354 5.090
Rh 1.719 2.354 0.190
Au 0.000 2.354 2.324
```

## Properties
The magnetic moment comes out at 0.000 μB per atom. As for the space group: Imm2, No. 44. As for the formation energy: -517 meV per atom.

=====

(4)
Density functional theory data (SCAN) for a crystal of Ta2W relaxed with PBEsol.

Cell and atoms, written as extended XYZ:
```
3
Lattice="2.816 -0.003 0.000 -0.989 2.636 0.000 -0.913 -1.316 6.813" Properties=species:S:1:pos:R:3 pbc="T T T"
Ta 0.000 0.000 2.227
Ta 0.913 1.316 4.587
W 0.913 1.316 0.000
```

## Properties
The energy above the lowest structure with this stoichiometry comes out at 4.1 kJ per mole of atoms. The magnetic moment comes out at 0.000 μB per atom. As for the space group: Fmmm, No. 69. As for the formation energy: -44 meV per atom.

=====

(5)
Density functional theory data (SCAN) for a crystal of Ti2InFe relaxed with PBEsol.

Cell and atoms, written as extended XYZ:
```
4
Lattice="4.428 0.000 0.000 2.214 3.834 0.000 2.214 1.278 3.615" Properties=species:S:1:pos:R:3 pbc="T T T"
In 2.214 1.278 0.904
Ti 0.000 0.000 0.000
Ti 6.641 3.834 2.711
Fe 4.428 2.556 1.808
```

## Properties
The magnetic moment comes out at 0.250 μB per atom. As for the space group: F-43m, No. 216. As for the formation energy: -130 meV per atom.

=====

(6)
Density functional theory data (SCAN) for a crystal of Al2O3 relaxed with PBEsol.

Cell and atoms, written as extended XYZ:
```
25
Lattice="-5.154 -1.615 1.353 3.135 -3.183 -3.359 4.453 -3.000 7.554" Properties=species:S:1:pos:R:3 pbc="T T T"
O 4.820 -3.749 6.030
O -0.397 -3.463 3.111
O 4.275 -4.053 3.533
O 1.992 -2.634 2.413
O 1.040 -5.028 1.426
O 3.762 -4.283 0.663
O -2.985 -2.098 2.016
O -0.030 -1.437 1.261
O 6.409 -5.327 4.390
O 3.757 -6.100 5.019
O 2.590 -2.524 5.164
O 1.652 -4.708 4.260
O 2.236 -4.508 6.807
O -0.948 -3.708 0.459
O 0.193 -3.248 5.797
Al 0.491 -3.300 1.533
Al 3.317 -4.360 5.231
Al -1.674 -2.123 0.872
Al 3.674 -3.195 2.034
Al 0.713 -5.199 5.919
Al 4.850 -5.887 3.577
Al -0.487 -5.523 0.400
Al 0.982 -2.875 4.155
Al 1.651 -5.890 2.862
Al -1.508 -4.655 -1.981
```

## Properties
The magnetic moment comes out at 0.000 μB per atom. The total DFT energy (no corrections) is -50.5 eV per formula unit. As for the space group: P1, No. 1.

=====

(7)
Density functional theory data (SCAN) for a crystal of InAg2HgOs relaxed with PBEsol.

Cell and atoms, written as extended XYZ:
```
5
Lattice="4.942 0.000 0.000 0.000 4.942 0.000 0.000 0.000 5.075" Properties=species:S:1:pos:R:3 pbc="T T T"
Os 2.471 2.471 2.537
Ag 0.000 2.471 0.000
Ag 2.471 0.000 0.000
In 0.000 0.000 0.000
Hg 0.000 0.000 2.537
```

## Properties
The magnetic moment comes out at 0.611 μB per atom. As for the space group: P4/mmm, No. 123. As for the formation energy: 1829 meV per atom.

=====

(8)
Density functional theory data (SCAN) for a crystal of MnMoSe2 relaxed with PBEsol.

Cell and atoms, written as extended XYZ:
```
4
Lattice="3.433 0.000 0.033 0.000 3.867 0.000 -0.060 0.000 6.022" Properties=species:S:1:pos:R:3 pbc="T T T"
Mn 2.109 0.000 3.731
Se 2.125 1.934 2.094
Se 0.376 0.000 5.442
Mo 0.391 1.934 3.837
```

## Properties
The energy above the lowest structure with this stoichiometry comes out at 0.0 kJ per mole of atoms. The magnetic moment comes out at 0.510 μB per atom. As for the space group: Pmm2, No. 25.